1.
{
  "formula": "HgBi2B",
  "functional": "PBE",
  "state": "relaxed",
  "final_energy_ev_per_atom": -2.709,
  "lattice": [[0.0000, 3.6871, 3.6871], [3.6871, 0.0000, 3.6871], [3.6871, 3.6871, 0.0000]],
  "species": ["B", "Bi", "Bi", "Hg"],
  "fractional_positions": [[0.5000, 0.5000, 0.5000], [0.0000, 0.0000, 0.0000], [0.7500, 0.7500, 0.7500], [0.2500, 0.2500, 0.2500]]
}



2.
{
  "formula": "HoBiB",
  "functional": "PBE",
  "state": "relaxed",
  "total_magnetization_mub_per_atom": 0.002,
  "final_energy_ev_per_atom": -4.746,
  "lattice": [[0.0000, 3.2316, 3.2316], [3.2316, 0.0000, 3.2316], [3.2316, 3.2316, 0.0000]],
  "species": ["B", "Bi", "Ho"],
  "fractional_positions": [[0.0000, 0.0000, 0.0000], [0.2500, 0.2500, 0.2500], [0.7500, 0.7500, 0.7500]]
}



3.
{
  "formula": "HoBiB",
  "functional": "PBE",
  "state": "relaxed",
  "total_magnetization_mub_per_atom": 0.000,
  "final_energy_ev_per_atom": -4.283,
  "lattice": [[2.4054, 1.3888, 3.9280], [-2.4054, 1.3888, 3.9280], [0.0000, -2.7775, 3.9280]],
  "species": ["B", "Bi", "Ho"],
  "fractional_positions": [[0.7500, 0.7500, 0.7500], [0.2500, 0.2500, 0.2500], [0.0000, 0.0000, 0.0000]]
}



4.
{
  "formula": "BiB2Ir",
  "functional": "PBE",
  "state": "relaxed",
  "total_magnetization_mub_per_atom": 0.001,
  "final_energy_ev_per_atom": -4.853,
  "lattice": [[-0.1379, -3.7950, 2.2177], [-3.1858, -0.7099, 2.9472], [-3.1683, -2.9292, -0.8494]],
  "species": ["B", "B", "Bi", "Ir"],
  "fractional_positions": [[0.0000, 0.0000, 0.0000], [0.7500, 0.7500, 0.7500], [0.5000, 0.5000, 0.5000], [0.2500, 0.2500, 0.2500]]
}



5.
{
  "formula": "BiBIr",
  "functional": "PBE",
  "state": "relaxed",
  "total_magnetization_mub_per_atom": 0.000,
  "final_energy_ev_per_atom": -5.496,
  "lattice": [[0.0000, 2.9561, 2.9561], [2.9561, 0.0000, 2.9561], [2.9561, 2.9561, 0.0000]],
  "species": ["B", "Bi", "Ir"],
  "fractional_positions": [[0.0000, 0.0000, 0.0000], [0.2500, 0.2500, 0.2500], [0.7500, 0.7500, 0.7500]]
}



6.
{
  "formula": "Bi2BIr",
  "functional": "PBE",
  "state": "relaxed",
  "total_magnetization_mub_per_atom": 0.001,
  "final_energy_ev_per_atom": -4.587,
  "lattice": [[0.0000, 3.4354, 3.4354], [3.4354, 0.0000, 3.4354], [3.4354, 3.4354, 0.0000]],
  "species": ["B", "Bi", "Bi", "Ir"],
  "fractional_positions": [[0.5000, 0.5000, 0.5000], [0.0000, 0.0000, 0.0000], [0.7500, 0.7500, 0.7500], [0.2500, 0.2500, 0.2500]]
}